[1]
CuTcAs2: optimized geometry, PBE-GGA.

Cell: 3.149 3.149 6.165 Å, 90.00 90.00 90.00°
Space group P4/mmm (No. 123)
One atom of each set of equivalent atoms:
1 Cu 0.000 0.000 0.000 (multiplicity 1)
2 Tc 0.000 0.000 0.500 (multiplicity 1)
3 As 0.500 0.500 0.262 (multiplicity 2)

Calculated values
ΔE_f   0.041 eV/atom
VASP energy   -5.899 eV/atom
Calculated volume   15.3 A^3/atom
Density of states at the Fermi level   0.43 states/eV/atom
ΔE to the lowest computed polymorph   27 meV per atom

[2]
OsSe4: optimized geometry, PBE-GGA.

Cell: 4.868 4.868 4.868 Å, 90.00 90.00 90.00°
Space group Pm-3m (No. 221)
One atom of each set of equivalent atoms:
1 Os 0.000 0.000 0.000 (multiplicity 1)
2 Se 0.000 0.000 0.500 (multiplicity 3)
3 Se 0.500 0.500 0.500 (multiplicity 1)

Calculated values
VASP energy   -4.344 eV/atom
Calculated volume   23.1 A^3/atom
Density of states at the Fermi level   1.15 states/eV/atom
ΔE to the lowest computed polymorph   7 meV per atom
E_form (uncorrected)   689 meV per atom

[3]
LiMgSc2H: optimized geometry, PBE-GGA.

Cell: 4.496 4.496 4.417 Å, 90.00 90.00 90.00°
Space group P4/mmm (No. 123)
One atom of each set of equivalent atoms:
1 Li 0.000 0.000 0.000 (multiplicity 1)
2 Mg 0.500 0.500 0.000 (multiplicity 1)
3 Sc 0.000 0.500 0.500 (multiplicity 2)
4 H 0.500 0.500 0.500 (multiplicity 1)

Calculated values
VASP energy   -3.934 eV/atom
Calculated volume   17.9 A^3/atom
Density of states at the Fermi level   1.03 states/eV/atom
ΔE to the lowest computed polymorph   79 meV per atom